VASP calculation (PBE+U) on an optimized crystal structure of Co3OF5.

Computed properties:
**E**: -5.06 eV per atom
**SG**: C2/m (12)
**N(E_F)**: 0.1959 states/eV per atom

abc: 4.6726 4.6726 9.3777
angles: 90.56 90.56 92.31
Closest atoms and distances in Å follow each position.
Sites, in units of the cell vectors:
Co  0.0000  0.0000  0.0000  2 O 1.82, 2 F 2.02
Co  0.0016  0.0016  0.6748  1 O 1.96, 5 F 2.04-2.08
Co  0.4669  0.4669  0.1632  1 O 1.91, 5 F 2.03-2.08
Co  0.5000  0.5000  0.5000  6 F 1.97-2.06
Co  0.5331  0.5331  0.8368  1 O 1.91, 5 F 2.03-2.08
Co  0.9984  0.9984  0.3252  1 O 1.96, 5 F 2.04-2.08
O  0.1716  0.1716  0.1559  3 Co 1.82-1.96
O  0.8284  0.8284  0.8441  3 Co 1.82-1.96
F  0.1964  0.1964  0.5021  3 Co 1.97-2.08
F  0.2193  0.2193  0.8387  3 Co 2.03-2.09
F  0.2891  0.6835  0.3328  3 Co 2.04-2.08
F  0.2998  0.7002  0.0000  3 Co 2.02-2.05
F  0.3165  0.7109  0.6672  3 Co 2.04-2.08
F  0.6835  0.2891  0.3328  3 Co 2.04-2.08
F  0.7002  0.2998  0.0000  3 Co 2.02-2.05
F  0.7109  0.3165  0.6672  3 Co 2.04-2.08
F  0.7807  0.7807  0.1613  3 Co 2.03-2.09
F  0.8036  0.8036  0.4979  3 Co 1.97-2.08